1.
RbGa2Cl8 | PBE-GGA | optimized geometry

- Formation energy without anion corrections: -12.5 eV/f.u.
- Space group: C2/m, No. 12

CIF file:
```
data_RbGa2Cl8
_chemical_formula_sum 'Rb1 Ga2 Cl8'
_symmetry_space_group_name_H-M 'P 1'
_symmetry_Int_Tables_number 1
_symmetry_space_group_name_Hall 'P 1'
_cell_length_a 7.2790
_cell_length_b 7.5844
_cell_length_c 8.4344
_cell_angle_alpha 107.47
_cell_angle_beta 90.00
_cell_angle_gamma 118.68
loop_
_atom_site_label
_atom_site_type_symbol
_atom_site_fract_x
_atom_site_fract_y
_atom_site_fract_z
_atom_site_occupancy
Rb1 Rb 0.0000 0.0000 0.0000 1
Ga1 Ga 0.2239 0.4478 0.7088 1
Ga2 Ga 0.7761 0.5522 0.2912 1
Cl1 Cl 0.5918 0.6711 0.1896 1
Cl2 Cl 0.9206 0.3289 0.8104 1
Cl3 Cl 0.1448 0.2895 0.4348 1
Cl4 Cl 0.8552 0.7105 0.5652 1
Cl5 Cl 0.0794 0.6711 0.1896 1
Cl6 Cl 0.4082 0.3289 0.8104 1
Cl7 Cl 0.3971 0.7942 0.7918 1
Cl8 Cl 0.6029 0.2058 0.2082 1
```


2.
Y3BiC | PBE-GGA | optimized geometry

- Final energy: -6.07 eV per atom
- Space group: R3m, No. 160

CIF file:
```
data_Y3BiC
_chemical_formula_sum 'Y3 Bi1 C1'
_symmetry_space_group_name_H-M 'P 1'
_symmetry_Int_Tables_number 1
_symmetry_space_group_name_Hall 'P 1'
_cell_length_a 6.2562
_cell_length_b 6.2562
_cell_length_c 6.2562
_cell_angle_alpha 76.82
_cell_angle_beta 76.82
_cell_angle_gamma 76.82
loop_
_atom_site_label
_atom_site_type_symbol
_atom_site_fract_x
_atom_site_fract_y
_atom_site_fract_z
_atom_site_occupancy
Y1 Y 0.8526 0.2920 0.8526 1
Y2 Y 0.2920 0.8526 0.8526 1
Y3 Y 0.8526 0.8526 0.2920 1
C1 C 0.0703 0.0703 0.0703 1
Bi1 Bi 0.8075 0.8075 0.8075 1
```


3.
PmIn2Au | PBE-GGA | optimized geometry

- Final energy: -3.73 eV per atom
- Space group: P4/mmm, No. 123

CIF file:
```
data_PmIn2Au
_chemical_formula_sum 'Pm1 In2 Au1'
_symmetry_space_group_name_H-M 'P 1'
_symmetry_Int_Tables_number 1
_symmetry_space_group_name_Hall 'P 1'
_cell_length_a 3.5381
_cell_length_b 3.5381
_cell_length_c 7.6976
_cell_angle_alpha 90.00
_cell_angle_beta 90.00
_cell_angle_gamma 90.00
loop_
_atom_site_label
_atom_site_type_symbol
_atom_site_fract_x
_atom_site_fract_y
_atom_site_fract_z
_atom_site_occupancy
In1 In 0.0000 0.0000 0.7870 1
In2 In 0.0000 0.0000 0.2130 1
Au1 Au 0.5000 0.5000 0.0000 1
Pm1 Pm 0.5000 0.5000 0.5000 1
```


4.
TaRh2ICl | PBE-GGA | optimized geometry

- Formation energy without anion corrections: 8.3 eV/f.u.
- Space group: P4/mmm, No. 123

CIF file:
```
data_TaRh2ICl
_chemical_formula_sum 'Ta1 Rh2 I1 Cl1'
_symmetry_space_group_name_H-M 'P 1'
_symmetry_Int_Tables_number 1
_symmetry_space_group_name_Hall 'P 1'
_cell_length_a 4.8367
_cell_length_b 5.1535
_cell_length_c 4.8367
_cell_angle_alpha 90.00
_cell_angle_beta 90.00
_cell_angle_gamma 90.00
loop_
_atom_site_label
_atom_site_type_symbol
_atom_site_fract_x
_atom_site_fract_y
_atom_site_fract_z
_atom_site_occupancy
I1 I 0.0000 0.0000 0.0000 1
Cl1 Cl 0.0000 0.5000 0.0000 1
Rh1 Rh 0.0000 0.0000 0.5000 1
Rh2 Rh 0.5000 0.0000 0.0000 1
Ta1 Ta 0.5000 0.5000 0.5000 1
```


5.
KNpH2Br8 | PBE-GGA | optimized geometry

- Final energy: -3.77 eV per atom
- Space group: P-1, No. 2

CIF file:
```
data_KNpH2Br8
_chemical_formula_sum 'K1 Np1 H2 Br8'
_symmetry_space_group_name_H-M 'P 1'
_symmetry_Int_Tables_number 1
_symmetry_space_group_name_Hall 'P 1'
_cell_length_a 7.4264
_cell_length_b 8.1546
_cell_length_c 9.3830
_cell_angle_alpha 112.96
_cell_angle_beta 90.40
_cell_angle_gamma 113.58
loop_
_atom_site_label
_atom_site_type_symbol
_atom_site_fract_x
_atom_site_fract_y
_atom_site_fract_z
_atom_site_occupancy
K1 K 0.0000 0.0000 0.5000 1
Np1 Np 0.0000 0.0000 0.0000 1
H1 H 0.5511 0.4474 0.7078 1
H2 H 0.4489 0.5526 0.2922 1
Br1 Br 0.0967 0.8033 0.1374 1
Br2 Br 0.6117 0.7352 0.9301 1
Br3 Br 0.9409 0.2258 0.2767 1
Br4 Br 0.9033 0.1967 0.8626 1
Br5 Br 0.3883 0.2648 0.0699 1
Br6 Br 0.0591 0.7742 0.7233 1
Br7 Br 0.4926 0.7327 0.4360 1
Br8 Br 0.5074 0.2673 0.5640 1
```


6.
Cs2HgSeI | PBE-GGA | optimized geometry

- Formation energy without anion corrections: -4.9 eV/f.u.
- Space group: P4/mmm, No. 123

CIF file:
```
data_Cs2HgSeI
_chemical_formula_sum 'Cs2 Hg1 Se1 I1'
_symmetry_space_group_name_H-M 'P 1'
_symmetry_Int_Tables_number 1
_symmetry_space_group_name_Hall 'P 1'
_cell_length_a 7.0672
_cell_length_b 7.0672
_cell_length_c 5.3827
_cell_angle_alpha 90.00
_cell_angle_beta 90.00
_cell_angle_gamma 90.00
loop_
_atom_site_label
_atom_site_type_symbol
_atom_site_fract_x
_atom_site_fract_y
_atom_site_fract_z
_atom_site_occupancy
Cs1 Cs 0.0000 0.5000 0.0000 1
Cs2 Cs 0.5000 0.0000 0.0000 1
I1 I 0.5000 0.5000 0.5000 1
Hg1 Hg 0.0000 0.0000 0.5000 1
Se1 Se 0.0000 0.0000 0.0000 1
```